Entry 1:
# CsTmC2O6 PBE relaxed
data_CsTmC2O6
_cell_length_a 9.1372
_cell_length_b 9.8376
_cell_length_c 7.7584
_cell_angle_alpha 90.00
_cell_angle_beta 113.09
_cell_angle_gamma 90.00
_symmetry_space_group_name_H-M 'C 1 2/c 1'
_symmetry_Int_Tables_number 15
loop_
_symmetry_equiv_pos_as_xyz
'x,y,z'
'-x,-y,-z'
'-x,y,-z+1/2'
'x,-y,z+1/2'
'x+1/2,y+1/2,z'
'-x+1/2,-y+1/2,-z'
'-x+1/2,y+1/2,-z+1/2'
'x+1/2,-y+1/2,z+1/2'
loop_
_atom_site_label
_atom_site_type_symbol
_atom_site_fract_x
_atom_site_fract_y
_atom_site_fract_z
Cs1 Cs 0.0000 0.1097 0.2500
Tm1 Tm 0.0000 0.3425 0.7500
C1 C 0.2098 0.3893 0.2056
O1 O 0.0994 0.3406 0.0560
O2 O 0.1562 0.1753 0.7154
O3 O 0.1880 0.4986 0.7794
# raw formation energy = -2.160 eV/atom
# crystal system = monoclinic
# density = 4.37 g cm⁻³

=====

Entry 2:
# Cs4UC3O11 PBE relaxed
data_Cs4UC3O11
_cell_length_a 11.7801
_cell_length_b 9.7628
_cell_length_c 13.2465
_cell_angle_alpha 90.00
_cell_angle_beta 92.37
_cell_angle_gamma 90.00
_symmetry_space_group_name_H-M 'C 1 2/c 1'
_symmetry_Int_Tables_number 15
loop_
_symmetry_equiv_pos_as_xyz
'x,y,z'
'-x,-y,-z'
'-x,y,-z+1/2'
'x,-y,z+1/2'
'x+1/2,y+1/2,z'
'-x+1/2,-y+1/2,-z'
'-x+1/2,y+1/2,-z+1/2'
'x+1/2,-y+1/2,z+1/2'
loop_
_atom_site_label
_atom_site_type_symbol
_atom_site_fract_x
_atom_site_fract_y
_atom_site_fract_z
Cs1 Cs 0.1056 0.1734 0.0367
Cs2 Cs 0.1848 0.3386 0.3430
U1 U 0.0000 0.3087 0.7500
C1 C 0.0000 0.0110 0.7500
C2 C 0.1163 0.4560 0.5940
O1 O 0.0000 0.1187 0.2500
O2 O 0.0383 0.0852 0.6751
O3 O 0.0592 0.4813 0.1640
O4 O 0.0965 0.3230 0.5882
O5 O 0.1418 0.3089 0.8157
O6 O 0.1855 0.4830 0.0391
# raw formation energy = -2.058 eV/atom
# crystal system = monoclinic
# density = 4.28 g cm⁻³